! RbHg2I | the Alexandria database | PBE-GGA | optimized geometry; values from VASP
&SYSTEM
  ibrav = 0, nat = 16, ntyp = 3
/
ATOMIC_SPECIES
I 126.90 I.upf
Hg 200.59 Hg.upf
Rb 85.47 Rb.upf
CELL_PARAMETERS angstrom
14.5651 0.0000 -0.0055
0.0000 6.9826 0.0000
-14.4790 0.0000 6.9868
ATOMIC_POSITIONS crystal
I 0.9196 0.2501 0.0063
I 0.4196 0.7499 0.5063
I 0.9196 0.7501 0.5063
I 0.4196 0.2499 0.0063
Hg 0.9728 0.5760 0.3331
Hg 0.4728 0.4240 0.8331
Hg 0.9728 0.0760 0.8331
Hg 0.4728 0.9240 0.3331
Hg 0.3217 0.4251 0.1824
Hg 0.8217 0.5749 0.6824
Hg 0.3217 0.9251 0.6824
Hg 0.8217 0.0749 0.1824
Rb 0.3585 0.7501 0.0079
Rb 0.8585 0.2499 0.5079
Rb 0.3585 0.2501 0.5079
Rb 0.8585 0.7499 0.0079
! - excess energy over the best structure of this formula in the dataset (kJ/mol of atoms) = 3.5
! - symmetry = No. 9
! - E_form (uncorrected) (eV/f.u.) = -2.674
! - DOS at the Fermi energy (states/eV per atom) = 0.00
! - total moment (μB/f.u.) = 0.00